Density functional theory data (PBE with a Hubbard U) for a geometry-optimized LiCrSi3O8 structure.

a b c (Å): 7.270 7.517 7.720
angles (deg): 64.22 74.55 80.68
Element x y z (fractional)
Li 0.211 0.275 0.396
Li 0.789 0.725 0.604
Cr 0.311 0.794 0.452
Cr 0.689 0.206 0.548
Si 0.124 0.759 0.113
Si 0.217 0.148 0.065
Si 0.455 0.582 0.266
Si 0.545 0.418 0.734
Si 0.783 0.852 0.935
Si 0.876 0.241 0.887
O 0.001 0.248 0.030
O 0.027 0.230 0.683
O 0.070 0.689 0.488
O 0.241 0.073 0.288
O 0.248 0.959 0.002
O 0.274 0.566 0.171
O 0.363 0.319 0.912
O 0.497 0.654 0.609
O 0.503 0.346 0.391
O 0.637 0.681 0.088
O 0.726 0.434 0.829
O 0.752 0.041 0.998
O 0.759 0.927 0.712
O 0.930 0.311 0.512
O 0.973 0.770 0.317
O 0.999 0.752 0.970

Results
- total moment (μB/atom) = 0.2312
- mass density (Mg/m³) = 2.46
- distance to the lowest polymorph of the same formula (meV per atom) = 321
- electronic total energy (eV/atom) = -7.051